[1]
# Cs3Pu3CuSe8 (PBE, optimized geometry)
# formation energy without anion corrections	-1.097	eV/atom
# size of the total moment	4.19	μB per formula unit
# total DFT energy (no corrections)	-6.266	eV per atom
data_Cs3Pu3CuSe8
_chemical_formula_sum 'Cs6 Pu6 Cu2 Se16'
_symmetry_space_group_name_H-M 'C 1 2/m 1'
_symmetry_Int_Tables_number 12
_cell_length_a 14.184
_cell_length_b 8.590
_cell_length_c 9.547
_cell_angle_alpha 90.00
_cell_angle_beta 117.89
_cell_angle_gamma 90.00
loop_
_symmetry_equiv_pos_as_xyz
'x,y,z'
'-x,-y,-z'
'-x,y,-z'
'x,-y,z'
'x+1/2,y+1/2,z'
'-x+1/2,-y+1/2,-z'
'-x+1/2,y+1/2,-z'
'x+1/2,-y+1/2,z'
loop_
_atom_site_label
_atom_site_fract_x
_atom_site_fract_y
_atom_site_fract_z
_atom_site_occupancy
Cs1 0.000 0.000 0.000 1
Cs2 0.250 0.250 0.000 1
Pu1 0.000 0.500 0.500 1
Pu2 0.250 0.250 0.500 1
Cu1 0.000 0.000 0.500 1
Se1 0.026 0.266 0.314 1
Se2 0.196 0.000 0.654 1
Se3 0.230 0.500 0.686 1

---

[2]
# CdPd3Pb (PBE, optimized geometry)
# energy relative to the elements	0.5875	eV per atom
# size of the total moment	0.00	μB per formula unit
# total DFT energy (no corrections)	-3.453	eV per atom
# ΔE to the lowest computed polymorph	0.825	eV/atom
data_CdPd3Pb
_chemical_formula_sum 'Cd1 Pd3 Pb1'
_symmetry_space_group_name_H-M 'P m -3 m'
_symmetry_Int_Tables_number 221
_symmetry_space_group_name_Hall '-P 4 2 3'
_cell_length_a 5.047
_cell_length_b 5.047
_cell_length_c 5.047
_cell_angle_alpha 90.00
_cell_angle_beta 90.00
_cell_angle_gamma 90.00
loop_
_atom_site_label
_atom_site_fract_x
_atom_site_fract_y
_atom_site_fract_z
_atom_site_occupancy
Cd1 0.000 0.000 0.000 1
Pd1 0.000 0.500 0.500 1
Pb1 0.500 0.500 0.500 1